[1]
Compound: Pr2MgScO
Source: Alexandria via LeMat-Bulk
Functional: PBE-GGA
Structure: optimized geometry

a = 4.231 Å, b = 5.271 Å, c = 5.271 Å
α = 90.00°, β = 90.00°, γ = 90.00°
Fractional positions:
Mg  0.500  0.500  0.500
Sc  0.500  0.000  0.000
Pr  0.000  0.500  0.000
Pr  0.000  0.000  0.500
O  0.000  0.000  0.000

Output
M_tot = 0.00 Bohr magnetons per cell
crystal system = tetragonal
ρ = 5.2 g cm⁻³
ΔE_f (raw) = -1.204 eV/atom


[2]
Compound: PrMgSe2O8
Source: Alexandria via LeMat-Bulk
Functional: PBE-GGA
Structure: optimized geometry

a = 5.546 Å, b = 5.546 Å, c = 6.923 Å
α = 90.00°, β = 90.00°, γ = 120.00°
Fractional positions:
Se  0.333  0.667  0.734
O  0.687  0.844  0.791
O  0.333  0.667  0.491
O  0.156  0.844  0.791
O  0.844  0.156  0.209
O  0.313  0.156  0.209
O  0.156  0.313  0.791
O  0.844  0.687  0.209
Pr  0.000  0.000  0.500
O  0.667  0.333  0.509
Mg  0.000  0.000  0.000
Se  0.667  0.333  0.266

Output
M_tot = 0.00 Bohr magnetons per cell
crystal system = trigonal
ρ = 4.1 g cm⁻³
ΔE_f (raw) = -1.498 eV/atom